No. 1
Compound: Mg14VCo
Source: Alexandria
Functional: PBE
Structure: relaxed

Structure (extended XYZ):
```
16
Lattice="-5.141 3.526 0.260 0.183 -5.474 2.989 3.528 4.545 8.107" Properties=species:S:1:pos:R:3 pbc="T T T"
Mg -2.472 1.678 3.225
Mg 0.088 -0.089 2.949
Mg 0.184 -2.943 4.507
Co 0.000 0.000 0.000
V 1.764 2.273 4.054
Mg -2.579 1.749 0.142
Mg 2.012 -0.588 8.708
Mg -0.732 3.920 7.223
Mg 1.916 2.266 7.149
Mg -2.489 -0.957 1.620
Mg -0.612 -1.420 7.158
Mg -2.496 -1.104 4.643
Mg -5.031 0.786 1.748
Mg 1.831 -0.461 5.557
Mg -0.702 1.277 5.685
Mg -0.669 1.250 8.843
```

Calculated values
DFT formation energy ... 0.133 eV per atom
Size of the total moment ... 4.40 μB per formula unit
DOS(E_F) ... 0.732 states/eV/atom
SG ... No. 187
Final energy ... -2.2759 eV/atom

No. 2
Compound: Mg3VCo
Source: Alexandria
Functional: PBE
Structure: relaxed

Structure (extended XYZ):
```
5
Lattice="-2.781 -0.788 -3.729 -3.658 -0.747 2.885 -1.072 4.592 -0.171" Properties=species:S:1:pos:R:3 pbc="T T T"
Mg -1.829 -0.373 1.443
Co 0.000 0.000 0.000
V -3.755 1.528 -0.508
Mg -1.390 -0.394 -1.865
Mg -0.536 2.296 -0.086
```

Calculated values
Distance to the lowest polymorph of the same formula ... 0.0 kJ/mol of atoms
DFT formation energy ... 0.699 eV per atom
Size of the total moment ... 3.65 μB per formula unit
DOS(E_F) ... 1.444 states/eV/atom
SG ... No. 221
Final energy ... -3.5023 eV/atom

No. 3
Compound: MgVCo3
Source: Alexandria
Functional: PBE
Structure: relaxed

Structure (extended XYZ):
```
5
Lattice="4.261 0.000 0.000 0.000 4.261 0.000 0.000 0.000 4.261" Properties=species:S:1:pos:R:3 pbc="T T T"
Co 0.000 2.131 0.000
Co 0.000 0.000 2.131
Mg 0.000 0.000 0.000
V 2.131 2.131 2.131
Co 2.131 0.000 0.000
```

Calculated values
Distance to the lowest polymorph of the same formula ... 67.1 kJ/mol of atoms
DFT formation energy ... 1.454 eV per atom
Size of the total moment ... 1.08 μB per formula unit
DOS(E_F) ... 1.401 states/eV/atom
SG ... No. 221
Final energy ... -4.9523 eV/atom

No. 4
Compound: MgV2Co2
Source: Alexandria
Functional: PBE
Structure: relaxed

Structure (extended XYZ):
```
10
Lattice="-4.880 -2.607 -4.293 4.923 -1.297 -4.809 0.383 -2.452 1.054" Properties=species:S:1:pos:R:3 pbc="T T T"
V 1.100 -4.037 -6.345
V -0.674 -2.319 -1.702
Co -1.140 -3.085 -6.764
Co 1.183 -0.819 -2.337
Co 2.477 -2.091 -5.768
V 2.660 -2.502 -3.339
Mg 0.021 -1.952 -4.551
Mg 0.000 0.000 0.000
Co -2.434 -1.813 -3.334
V -2.234 -3.855 -4.709
```

Calculated values
Distance to the lowest polymorph of the same formula ... 0.0 kJ/mol of atoms
DFT formation energy ... -0.038 eV per atom
Size of the total moment ... 0.00 μB per formula unit
DOS(E_F) ... 1.031 states/eV/atom
SG ... No. 127
Final energy ... -6.8471 eV/atom